# Sr2PrSnSe5

A relaxed Sr2PrSnSe5 crystal (PBE, Alexandria).

Lattice parameters (Å, degrees): 4.396 9.487 13.103 90.00 90.00 103.40
Element x y z (fractional)
Sr (0.134, 0.268, 0.308)
Se (0.491, 0.982, 0.760)
Se (0.283, 0.566, 0.670)
Sn (0.464, 0.928, 0.452)
Se (0.051, 0.101, 0.072)
Sr (0.866, 0.732, 0.808)
Pr (0.213, 0.427, 0.016)
Se (0.509, 0.018, 0.260)
Sr (0.112, 0.223, 0.682)
Sr (0.888, 0.777, 0.182)
Se (0.680, 0.359, 0.865)
Se (0.370, 0.741, 0.998)
Se (0.320, 0.641, 0.365)
Pr (0.787, 0.573, 0.516)
Se (0.717, 0.434, 0.170)
Sn (0.536, 0.072, 0.952)
Se (0.949, 0.899, 0.572)
Se (0.630, 0.259, 0.498)

Computed properties:
DOS at the Fermi energy, states/eV/cell: 3.84
Crystal system: orthorhombic
Uncorrected energy, eV per atom: -4.78
Space group: No. 36
Total magnetic moment, μB/f.u.: 0.00

---

# Pr6Sn2Te3Se

A relaxed Pr6Sn2Te3Se crystal (PBE, Alexandria).

Lattice parameters (Å, degrees): 4.505 9.055 10.114 103.59 102.87 90.00
Element x y z (fractional)
Sn (0.834, 0.669, 0.668)
Te (0.833, 0.166, 0.665)
Se (0.500, 0.000, 0.000)
Pr (0.668, 0.577, 0.336)
Te (0.167, 0.834, 0.335)
Sn (0.166, 0.331, 0.332)
Pr (0.339, 0.913, 0.677)
Pr (0.661, 0.087, 0.323)
Pr (0.332, 0.423, 0.664)
Pr (0.003, 0.237, 0.005)
Te (0.500, 0.500, 0.000)
Pr (0.997, 0.763, 0.995)

Computed properties:
DOS at the Fermi energy, states/eV/cell: 5.20
Crystal system: monoclinic
Uncorrected energy, eV per atom: -5.45
Space group: No. 12
Total magnetic moment, μB/f.u.: 0.00

---

# Pr4SnTeSe2

A relaxed Pr4SnTeSe2 crystal (PBE, Alexandria).

Lattice parameters (Å, degrees): 4.414 7.627 7.681 70.54 90.00 90.00
Element x y z (fractional)
Pr (0.000, 0.761, 0.751)
Pr (0.000, 0.239, 0.249)
Sn (0.500, 0.500, 0.000)
Pr (0.500, 0.233, 0.763)
Te (0.000, 0.500, 0.500)
Pr (0.500, 0.767, 0.237)
Se (0.500, 0.000, 0.500)
Se (0.000, 0.000, 0.000)

Computed properties:
DOS at the Fermi energy, states/eV/cell: 3.31
Crystal system: monoclinic
Uncorrected energy, eV per atom: -5.64
Space group: No. 10
Total magnetic moment, μB/f.u.: 0.00

---

# Pr6SnTe3Se2

A relaxed Pr6SnTe3Se2 crystal (PBE, Alexandria).

Lattice parameters (Å, degrees): 7.648 7.648 7.848 99.36 99.36 119.97
Element x y z (fractional)
Se (0.668, 0.332, 0.000)
Pr (0.734, 0.734, 0.226)
Pr (0.923, 0.583, 0.770)
Te (0.163, 0.837, 0.500)
Te (0.837, 0.163, 0.500)
Te (0.500, 0.500, 0.500)
Pr (0.266, 0.266, 0.774)
Pr (0.583, 0.923, 0.770)
Sn (0.000, 0.000, 0.000)
Pr (0.417, 0.077, 0.230)
Se (0.332, 0.668, 0.000)
Pr (0.077, 0.417, 0.230)

Computed properties:
DOS at the Fermi energy, states/eV/cell: 6.17
Crystal system: monoclinic
Uncorrected energy, eV per atom: -5.58
Space group: No. 12
Total magnetic moment, μB/f.u.: 0.00

---

# Pr6SnTe2Se3

A relaxed Pr6SnTe2Se3 crystal (PBE, Alexandria).

Lattice parameters (Å, degrees): 4.390 8.859 9.876 103.04 102.84 90.00
Element x y z (fractional)
Se (0.168, 0.834, 0.336)
Se (0.500, 0.500, 0.000)
Sn (0.500, 0.000, 0.000)
Pr (0.658, 0.599, 0.317)
Se (0.832, 0.166, 0.664)
Pr (0.667, 0.067, 0.335)
Pr (0.333, 0.933, 0.665)
Te (0.169, 0.338, 0.338)
Pr (0.342, 0.401, 0.683)
Pr (0.004, 0.747, 0.008)
Pr (0.996, 0.253, 0.992)
Te (0.831, 0.662, 0.662)

Computed properties:
DOS at the Fermi energy, states/eV/cell: 4.85
Crystal system: monoclinic
Uncorrected energy, eV per atom: -5.66
Space group: No. 12
Total magnetic moment, μB/f.u.: 0.00

---

# PrTl2SnSe4

A relaxed PrTl2SnSe4 crystal (PBE, Alexandria).

Lattice parameters (Å, degrees): 4.244 8.044 7.508 71.96 90.00 90.00
Element x y z (fractional)
Sn (0.500, 0.500, 0.000)
Pr (0.000, 0.500, 0.500)
Tl (0.500, 0.000, 0.500)
Se (0.500, 0.288, 0.745)
Tl (0.000, 0.000, 0.000)
Se (0.500, 0.712, 0.255)
Se (0.000, 0.712, 0.768)
Se (0.000, 0.288, 0.232)

Computed properties:
DOS at the Fermi energy, states/eV/cell: 4.25
Crystal system: monoclinic
Uncorrected energy, eV per atom: -4.29
Space group: No. 10
Total magnetic moment, μB/f.u.: 0.00

---

# PrTlSnSe3

A relaxed PrTlSnSe3 crystal (PBE, Alexandria).

Lattice parameters (Å, degrees): 4.308 8.656 11.659 90.00 90.00 104.41
Element x y z (fractional)
Se (0.974, 0.948, 0.750)
Tl (0.697, 0.395, 0.750)
Se (0.377, 0.754, 0.493)
Tl (0.303, 0.605, 0.250)
Sn (0.368, 0.736, 0.750)
Se (0.377, 0.754, 0.007)
Sn (0.632, 0.264, 0.250)
Se (0.623, 0.246, 0.993)
Se (0.623, 0.246, 0.507)
Se (0.026, 0.052, 0.250)
Pr (0.000, 0.000, 0.500)
Pr (0.000, 0.000, 0.000)

Computed properties:
Crystal system: orthorhombic
Uncorrected energy, eV per atom: -4.52
Space group: No. 63
Total magnetic moment, μB/f.u.: 0.00

---

# SrPr5Se6

A relaxed SrPr5Se6 crystal (PBE, Alexandria).

Lattice parameters (Å, degrees): 7.440 7.408 7.425 60.08 80.45 70.57
Element x y z (fractional)
Se (0.751, 0.749, 0.000)
Pr (0.500, 0.500, 0.000)
Se (0.748, 0.084, 0.334)
Pr (0.500, 0.835, 0.331)
Pr (0.000, 0.333, 0.335)
Se (0.249, 0.251, 0.000)
Se (0.748, 0.418, 0.666)
Sr (0.000, 0.000, 0.000)
Se (0.252, 0.916, 0.666)
Se (0.252, 0.582, 0.334)
Pr (0.000, 0.667, 0.665)
Pr (0.500, 0.165, 0.669)

Computed properties:
DOS at the Fermi energy, states/eV/cell: 5.49
Crystal system: monoclinic
Uncorrected energy, eV per atom: -5.74
Space group: No. 12
Total magnetic moment, μB/f.u.: 0.00

---

# SrPr5Se8

A relaxed SrPr5Se8 crystal (PBE, Alexandria).

Lattice parameters (Å, degrees): 7.845 7.845 7.845 109.53 109.36 109.53
Element x y z (fractional)
Sr (0.250, 0.500, 0.750)
Pr (0.500, 0.000, 0.500)
Pr (0.754, 0.628, 0.628)
Pr (0.372, 0.126, 0.000)
Se (0.122, 0.753, 0.519)
Se (0.766, 0.247, 0.369)
Se (0.631, 0.397, 0.878)
Se (0.481, 0.603, 0.234)
Se (0.628, 0.904, 0.875)
Pr (0.874, 0.874, 0.246)
Se (0.277, 0.248, 0.372)
Se (0.125, 0.752, 0.029)
Se (0.971, 0.096, 0.723)
Pr (0.000, 0.372, 0.126)

Computed properties:
DOS at the Fermi energy, states/eV/cell: 6.28
Crystal system: tetragonal
Uncorrected energy, eV per atom: -5.72
Space group: No. 82
Total magnetic moment, μB/f.u.: 0.00

---

# Sr2Pr3Se6

A relaxed Sr2Pr3Se6 crystal (PBE, Alexandria).

Lattice parameters (Å, degrees): 7.457 7.449 7.644 80.71 71.19 59.97
Element x y z (fractional)
Se (0.250, 0.000, 0.239)
Sr (0.168, 0.665, 0.500)
Se (0.589, 0.337, 0.235)
Sr (0.832, 0.335, 0.500)
Pr (0.664, 0.672, 0.000)
Pr (0.000, 0.000, 0.000)
Se (0.926, 0.663, 0.235)
Se (0.074, 0.337, 0.765)
Se (0.750, 0.000, 0.761)
Pr (0.336, 0.328, 0.000)
Se (0.411, 0.663, 0.765)

Computed properties:
DOS at the Fermi energy, states/eV/cell: 3.68
Crystal system: monoclinic
Uncorrected energy, eV per atom: -5.45
Space group: No. 12
Total magnetic moment, μB/f.u.: 0.00

---

# SrPr4Se5

A relaxed SrPr4Se5 crystal (PBE, Alexandria).

Lattice parameters (Å, degrees): 4.289 4.289 15.532 97.94 97.94 90.00
Element x y z (fractional)
Pr (0.200, 0.200, 0.401)
Pr (0.800, 0.800, 0.599)
Se (0.500, 0.500, 0.000)
Pr (0.397, 0.397, 0.795)
Se (0.899, 0.899, 0.799)
Se (0.101, 0.101, 0.201)
Pr (0.603, 0.603, 0.205)
Sr (0.000, 0.000, 0.000)
Se (0.299, 0.299, 0.599)
Se (0.701, 0.701, 0.401)

Computed properties:
DOS at the Fermi energy, states/eV/cell: 4.57
Crystal system: tetragonal
Uncorrected energy, eV per atom: -5.70
Space group: No. 139
Total magnetic moment, μB/f.u.: 0.00

---

# SrPr6Se8

A relaxed SrPr6Se8 crystal (PBE, Alexandria).

Lattice parameters (Å, degrees): 8.530 8.530 8.530 60.00 60.00 60.00
Element x y z (fractional)
Se (0.750, 0.750, 0.750)
Pr (0.500, 0.000, 0.500)
Pr (0.500, 0.500, 0.000)
Pr (0.500, 0.000, 0.000)
Se (0.255, 0.255, 0.745)
Se (0.255, 0.745, 0.745)
Pr (0.000, 0.500, 0.000)
Pr (0.000, 0.500, 0.500)
Sr (0.000, 0.000, 0.000)
Se (0.250, 0.250, 0.250)
Se (0.745, 0.255, 0.745)
Se (0.255, 0.745, 0.255)
Pr (0.000, 0.000, 0.500)
Se (0.745, 0.745, 0.255)
Se (0.745, 0.255, 0.255)

Computed properties:
DOS at the Fermi energy, states/eV/cell: 4.09
Crystal system: cubic
Uncorrected energy, eV per atom: -5.77
Space group: No. 225
Total magnetic moment, μB/f.u.: 0.00

---

# Sr4PrSe5

A relaxed Sr4PrSe5 crystal (PBE, Alexandria).

Lattice parameters (Å, degrees): 6.218 7.626 7.626 80.43 65.94 65.94
Element x y z (fractional)
Se (0.295, 0.804, 0.608)
Pr (0.001, 0.000, 0.000)
Se (0.707, 0.196, 0.392)
Sr (0.402, 0.399, 0.798)
Se (0.903, 0.392, 0.804)
Sr (0.599, 0.601, 0.202)
Sr (0.201, 0.202, 0.399)
Sr (0.801, 0.798, 0.601)
Se (0.099, 0.608, 0.196)
Se (0.501, 0.000, 0.000)

Computed properties:
DOS at the Fermi energy, states/eV/cell: 3.06
Crystal system: tetragonal
Uncorrected energy, eV per atom: -4.89
Space group: No. 87
Total magnetic moment, μB/f.u.: 0.00

---

# SrPr4Se5

A relaxed SrPr4Se5 crystal (PBE, Alexandria).

Lattice parameters (Å, degrees): 4.270 7.472 9.611 75.07 77.16 73.40
Element x y z (fractional)
Se (0.395, 0.308, 0.902)
Se (0.000, 0.500, 0.500)
Pr (0.196, 0.397, 0.211)
Sr (0.000, 0.000, 0.000)
Pr (0.804, 0.603, 0.789)
Se (0.802, 0.094, 0.302)
Pr (0.403, 0.791, 0.404)
Se (0.605, 0.692, 0.098)
Se (0.198, 0.906, 0.698)
Pr (0.597, 0.209, 0.596)

Computed properties:
DOS at the Fermi energy, states/eV/cell: 3.26
Crystal system: monoclinic
Uncorrected energy, eV per atom: -5.70
Space group: No. 12
Total magnetic moment, μB/f.u.: 0.00

---

# SrPrSe2

A relaxed SrPrSe2 crystal (PBE, Alexandria).

Lattice parameters (Å, degrees): 4.272 4.272 14.738 90.00 90.00 120.00
Element x y z (fractional)
Se (0.333, 0.667, 0.120)
Se (0.667, 0.333, 0.880)
Pr (0.000, 0.000, 0.500)
Sr (0.667, 0.333, 0.250)
Se (0.333, 0.667, 0.380)
Pr (0.000, 0.000, 0.000)
Sr (0.333, 0.667, 0.750)
Se (0.667, 0.333, 0.620)

Computed properties:
DOS at the Fermi energy, states/eV/cell: 2.52
Crystal system: hexagonal
Uncorrected energy, eV per atom: -5.25
Space group: No. 194
Total magnetic moment, μB/f.u.: 0.00

---

# SrPrSe2

A relaxed SrPrSe2 crystal (PBE, Alexandria).

Lattice parameters (Å, degrees): 4.303 4.303 7.640 73.71 73.71 59.99
Element x y z (fractional)
Pr (0.000, 0.000, 0.000)
Se (0.252, 0.252, 0.244)
Se (0.748, 0.748, 0.756)
Sr (0.500, 0.500, 0.500)

Computed properties:
DOS at the Fermi energy, states/eV/cell: 1.54
Crystal system: monoclinic
Uncorrected energy, eV per atom: -5.28
Space group: No. 12
Total magnetic moment, μB/f.u.: 0.00

---

# SrPr2Se4

A relaxed SrPr2Se4 crystal (PBE, Alexandria).

Lattice parameters (Å, degrees): 4.269 7.366 14.466 90.00 90.00 106.85
Element x y z (fractional)
Pr (0.866, 0.732, 0.571)
Se (0.041, 0.083, 0.250)
Se (0.772, 0.544, 0.119)
Se (0.772, 0.544, 0.381)
Pr (0.134, 0.268, 0.429)
Pr (0.866, 0.732, 0.929)
Se (0.500, 0.000, 0.000)
Se (0.959, 0.917, 0.750)
Se (0.228, 0.456, 0.881)
Sr (0.387, 0.773, 0.250)
Pr (0.134, 0.268, 0.071)
Se (0.500, 0.000, 0.500)
Se (0.228, 0.456, 0.619)
Sr (0.613, 0.227, 0.750)

Computed properties:
Crystal system: orthorhombic
Uncorrected energy, eV per atom: -5.51
Space group: No. 63
Total magnetic moment, μB/f.u.: 0.00

---

# SrPr2Se3

A relaxed SrPr2Se3 crystal (PBE, Alexandria).

Lattice parameters (Å, degrees): 4.285 6.089 7.506 113.93 106.58 90.00
Element x y z (fractional)
Se (0.668, 0.668, 0.337)
Se (0.000, 0.000, 0.000)
Sr (0.000, 0.500, 0.000)
Pr (0.665, 0.165, 0.331)
Se (0.332, 0.332, 0.663)
Pr (0.335, 0.835, 0.669)

Computed properties:
DOS at the Fermi energy, states/eV/cell: 2.29
Crystal system: orthorhombic
Uncorrected energy, eV per atom: -5.51
Space group: No. 71
Total magnetic moment, μB/f.u.: 0.00

---

# Sr2PrSe3

A relaxed Sr2PrSe3 crystal (PBE, Alexandria).

Lattice parameters (Å, degrees): 7.555 7.555 7.604 99.54 99.54 119.96
Element x y z (fractional)
Sr (0.333, 0.667, 0.000)
Se (0.753, 0.748, 0.244)
Sr (0.168, 0.832, 0.500)
Se (0.914, 0.585, 0.756)
Se (0.415, 0.086, 0.244)
Sr (0.833, 0.167, 0.500)
Se (0.252, 0.247, 0.756)
Pr (0.000, 0.000, 0.000)
Pr (0.667, 0.333, 0.000)
Se (0.076, 0.410, 0.243)
Sr (0.499, 0.501, 0.500)
Se (0.590, 0.924, 0.757)

Computed properties:
DOS at the Fermi energy, states/eV/cell: 2.98
Crystal system: monoclinic
Uncorrected energy, eV per atom: -5.06
Space group: No. 12
Total magnetic moment, μB/f.u.: 0.00

---

# SrPr2Se4

A relaxed SrPr2Se4 crystal (PBE, Alexandria).

Lattice parameters (Å, degrees): 7.889 7.889 7.889 109.46 109.46 109.49
Element x y z (fractional)
Se (0.730, 0.980, 0.097)
Pr (0.625, 0.748, 0.623)
Se (0.367, 0.770, 0.251)
Se (0.883, 0.633, 0.403)
Pr (0.252, 0.875, 0.877)
Se (0.883, 0.633, 0.903)
Sr (0.500, 0.500, 0.000)
Pr (0.125, 0.002, 0.377)
Sr (0.750, 0.250, 0.500)
Se (0.230, 0.480, 0.597)
Se (0.020, 0.117, 0.751)
Se (0.520, 0.117, 0.749)
Se (0.367, 0.270, 0.249)
Pr (0.998, 0.375, 0.123)

Computed properties:
DOS at the Fermi energy, states/eV/cell: 0.00
Crystal system: tetragonal
Uncorrected energy, eV per atom: -5.55
Space group: No. 122
Total magnetic moment, μB/f.u.: 0.00

---

Number 1: raw formation energy -1.491 eV per atom. Number 2: raw formation energy -1.314 eV per atom. Number 3: raw formation energy -1.488 eV per atom. Number 4: raw formation energy -1.490 eV per atom. Number 5: raw formation energy -1.545 eV per atom. Number 6: raw formation energy -0.859 eV per atom. Number 7: raw formation energy -0.923 eV per atom. Number 8: raw formation energy -1.866 eV per atom. Number 9: raw formation energy -1.906 eV per atom. Number 10: raw formation energy -1.937 eV per atom. Number 11: raw formation energy -1.875 eV per atom. Number 12: raw formation energy -1.890 eV per atom. Number 13: raw formation energy -1.994 eV per atom. Number 14: raw formation energy -1.879 eV per atom. Number 15: raw formation energy -1.891 eV per atom. Number 16: raw formation energy -1.925 eV per atom. Number 17: raw formation energy -1.916 eV per atom. Number 18: raw formation energy -1.892 eV per atom. Number 19: raw formation energy -1.960 eV per atom. Number 20: raw formation energy -1.950 eV per atom.